First-principles (PBE) data for a geometry-optimized CaPr4Se5 structure, as listed in Alexandria.

Output
Raw formation energy ... -1.87 eV/atom
E ... -5.73 eV per atom
Energy relative to the lowest polymorph listed for this composition ... 0 meV/atom

The structure in CIF format:
```
data_CaPr4Se5
_symmetry_space_group_name_H-M 'I 4/m m m'
_symmetry_Int_Tables_number 139
_symmetry_space_group_name_Hall '-I 4 2'
_cell_length_a 4.249
_cell_length_b 4.249
_cell_length_c 30.218
_cell_angle_alpha 90.00
_cell_angle_beta 90.00
_cell_angle_gamma 90.00
loop_
_atom_site_label
_atom_site_fract_x
_atom_site_fract_y
_atom_site_fract_z
_atom_site_occupancy
Ca1 0.000 0.000 0.000 1
Pr1 0.000 0.000 0.198 1
Pr2 0.000 0.000 0.398 1
Se1 0.000 0.000 0.097 1
Se2 0.000 0.000 0.298 1
Se3 0.000 0.000 0.500 1
```